1.
Entry from Alexandria: a relaxed MgTcSb crystal (PBEsol).

- relative energy among the computed polymorphs (meV/atom) = 329.6
- formation energy from raw total energies (eV/atom) = 0.221
- DOS(E_F) (states/eV per atom) = 0.5486

Cell: 4.404 4.404 4.404 Å, 60.00 60.00 60.00°
Fractional coordinates of all 3 atoms:
Sb: 0.500 0.500 0.500
Tc: 0.250 0.250 0.250
Mg: 0.000 0.000 0.000

2.
Entry from Alexandria: a relaxed Ta3AuCl crystal (PBEsol).

- formation energy from raw total energies (eV/atom) = 1.938
- DOS(E_F) (states/eV per atom) = 0.8965

Cell: 4.943 4.943 4.943 Å, 90.00 90.00 90.00°
Fractional coordinates of all 5 atoms:
Ta: 0.000 0.000 0.500
Ta: 0.000 0.500 0.000
Ta: 0.500 0.000 0.000
Au: 0.000 0.000 0.000
Cl: 0.500 0.500 0.500

3.
Entry from Alexandria: a relaxed KAg2Rh crystal (PBEsol).

- ΔE_f (eV/atom) = 0.4387
- DOS(E_F) (states/eV per atom) = 0.5486

Cell: 2.763 4.782 6.629 Å, 94.86 90.00 106.80°
Fractional coordinates of all 4 atoms:
Ag: 0.237 0.473 0.178
Ag: 0.763 0.527 0.822
K: 0.000 0.000 0.500
Rh: 0.500 0.000 0.000

4.
Entry from Alexandria: a relaxed KNaOs2 crystal (PBEsol).

- ΔE_f (eV/atom) = 2.5262
- DOS(E_F) (states/eV per atom) = 1.0825

Cell: 4.753 4.753 4.753 Å, 60.00 60.00 60.00°
Fractional coordinates of all 4 atoms:
Os: 0.750 0.750 0.750
Os: 0.250 0.250 0.250
K: 0.500 0.500 0.500
Na: 0.000 0.000 0.000

5.
Entry from Alexandria: a relaxed TlInBr2 crystal (PBEsol).

- relative energy among the computed polymorphs (meV/atom) = 27.7
- formation energy from raw total energies (eV/atom) = -0.663

Cell: 4.568 4.568 6.544 Å, 90.00 90.00 90.00°
Fractional coordinates of all 4 atoms:
In: 0.000 0.000 0.619
Br: 0.500 0.500 0.652
Br: 0.000 0.000 0.087
Tl: 0.500 0.500 0.142

6.
Entry from Alexandria: a relaxed CaAu2F12 crystal (PBEsol).

- formation energy from raw total energies (eV/atom) = -1.504

Cell: 5.985 5.985 6.830 Å, 90.00 90.00 90.00°
Fractional coordinates of all 15 atoms:
F: 0.745 0.208 0.781
F: 0.000 0.500 0.949
F: 0.792 0.255 0.219
F: 0.255 0.208 0.781
F: 0.745 0.792 0.781
F: 0.255 0.792 0.781
F: 0.792 0.745 0.219
F: 0.208 0.745 0.219
F: 0.500 0.000 0.051
F: 0.000 0.500 0.509
F: 0.208 0.255 0.219
F: 0.500 0.000 0.491
Au: 0.000 0.500 0.231
Au: 0.500 0.000 0.769
Ca: 0.000 0.000 0.000

7.
Entry from Alexandria: a relaxed BaCaCo2 crystal (PBEsol).

- ΔE_f (eV/atom) = 0.7334
- DOS(E_F) (states/eV per atom) = 2.1057

Cell: 3.512 4.995 4.995 Å, 90.00 90.00 90.00°
Fractional coordinates of all 4 atoms:
Co: 0.000 0.000 0.500
Co: 0.000 0.500 0.000
Ca: 0.500 0.000 0.000
Ba: 0.500 0.500 0.500

8.
Entry from Alexandria: a relaxed Mn2PRh crystal (PBEsol).

- ΔE_f (eV/atom) = -0.0712
- DOS(E_F) (states/eV per atom) = 1.0451

Cell: 2.640 2.640 7.762 Å, 80.21 80.21 60.00°
Fractional coordinates of all 4 atoms:
P: 0.495 0.495 0.514
Mn: 0.753 0.753 0.740
Mn: 0.005 0.005 0.984
Rh: 0.246 0.246 0.262

9.
Entry from Alexandria: a relaxed Co3TeH crystal (PBEsol).

- relative energy among the computed polymorphs (meV/atom) = 1698.3
- DOS(E_F) (states/eV per atom) = 1.3488

Cell: 4.691 4.691 4.691 Å, 90.00 90.00 90.00°
Fractional coordinates of all 5 atoms:
Co: 0.000 0.500 0.000
Co: 0.500 0.000 0.000
Co: 0.000 0.000 0.500
H: 0.500 0.500 0.500
Te: 0.000 0.000 0.000

10.
Entry from Alexandria: a relaxed Na3Pd crystal (PBEsol).

- ΔE_f (eV/atom) = 0.0587
- DOS(E_F) (states/eV per atom) = 0.3526

Cell: 5.003 5.003 5.003 Å, 91.37 119.21 119.21°
Fractional coordinates of all 4 atoms:
Pd: 0.000 0.000 0.000
Na: 0.500 0.750 0.250
Na: 0.500 0.250 0.750
Na: 0.000 0.500 0.500

11.
Entry from Alexandria: a relaxed NaFe2O4 crystal (PBEsol).

- relative energy among the computed polymorphs (meV/atom) = 23.9
- formation energy from raw total energies (eV/atom) = -1.420
- DOS(E_F) (states/eV per atom) = 0.4512

Cell: 2.762 8.750 10.257 Å, 90.00 90.00 90.00°
Fractional coordinates of all 28 atoms:
O: 0.750 0.202 0.853
O: 0.750 0.919 0.931
O: 0.250 0.081 0.069
O: 0.750 0.112 0.522
O: 0.250 0.888 0.478
O: 0.250 0.581 0.431
O: 0.750 0.612 0.978
O: 0.750 0.026 0.284
O: 0.750 0.526 0.216
O: 0.750 0.419 0.569
O: 0.250 0.388 0.022
O: 0.250 0.798 0.147
O: 0.250 0.474 0.784
O: 0.750 0.702 0.647
O: 0.250 0.298 0.353
O: 0.250 0.974 0.716
Fe: 0.750 0.941 0.113
Fe: 0.250 0.586 0.102
Fe: 0.750 0.414 0.898
Fe: 0.250 0.059 0.887
Fe: 0.750 0.441 0.387
Fe: 0.250 0.086 0.398
Fe: 0.250 0.559 0.613
Fe: 0.750 0.914 0.602
Na: 0.250 0.240 0.662
Na: 0.250 0.740 0.838
Na: 0.750 0.260 0.162
Na: 0.750 0.760 0.338

12.
Entry from Alexandria: a relaxed La2ReSe crystal (PBEsol).

- formation energy from raw total energies (eV/atom) = -0.373
- DOS(E_F) (states/eV per atom) = 0.7461

Cell: 3.496 4.740 6.448 Å, 111.57 105.73 90.00°
Fractional coordinates of all 4 atoms:
La: 0.224 0.724 0.448
La: 0.995 0.995 0.991
Se: 0.807 0.307 0.615
Re: 0.473 0.473 0.946

13.
Entry from Alexandria: a relaxed Li2TlIn crystal (PBEsol).

- ΔE_f (eV/atom) = -0.2880
- DOS(E_F) (states/eV per atom) = 0.3270

Cell: 3.371 3.371 6.734 Å, 90.00 90.00 90.00°
Fractional coordinates of all 4 atoms:
Li: 0.000 0.000 0.750
Li: 0.000 0.000 0.250
Tl: 0.500 0.500 0.000
In: 0.500 0.500 0.500

14.
Entry from Alexandria: a relaxed BaCu2Sb2 crystal (PBEsol).

- formation energy from raw total energies (eV/atom) = -0.481
- DOS(E_F) (states/eV per atom) = 0.3631

Cell: 4.637 4.637 10.600 Å, 90.00 90.00 90.00°
Fractional coordinates of all 10 atoms:
Ba: 0.000 0.500 0.239
Ba: 0.500 0.000 0.761
Cu: 0.500 0.000 0.372
Cu: 0.000 0.000 0.000
Cu: 0.000 0.500 0.628
Cu: 0.500 0.500 0.000
Sb: 0.000 0.500 0.875
Sb: 0.500 0.000 0.125
Sb: 0.500 0.500 0.500
Sb: 0.000 0.000 0.500

15.
Entry from Alexandria: a relaxed BaSbCl2 crystal (PBEsol).

- relative energy among the computed polymorphs (meV/atom) = 20.9
- formation energy from raw total energies (eV/atom) = -1.093
- DOS(E_F) (states/eV per atom) = 0.4486

Cell: 4.940 4.940 6.693 Å, 68.34 68.34 60.00°
Fractional coordinates of all 4 atoms:
Sb: 0.456 0.456 0.631
Cl: 0.795 0.795 0.614
Cl: 0.988 0.988 0.037
Ba: 0.261 0.261 0.218

16.
Entry from Alexandria: a relaxed MnRu2Rh crystal (PBEsol).

- ΔE_f (eV/atom) = 0.0634
- DOS(E_F) (states/eV per atom) = 0.9791

Cell: 2.643 3.691 5.274 Å, 90.00 90.00 90.00°
Fractional coordinates of all 4 atoms:
Rh: 0.500 0.500 0.742
Mn: 0.000 0.000 0.498
Ru: 0.500 0.500 0.251
Ru: 0.000 0.000 0.008

17.
Entry from Alexandria: a relaxed KTeOF3 crystal (PBEsol).

- relative energy among the computed polymorphs (meV/atom) = 0.0
- formation energy from raw total energies (eV/atom) = -2.188
- DOS(E_F) (states/eV per atom) = 0.0000

Cell: 7.846 10.069 10.069 Å, 90.00 90.00 90.00°
Fractional coordinates of all 48 atoms:
K: 0.000 0.000 0.000
K: 0.500 0.000 0.000
K: 0.750 0.250 0.250
K: 0.750 0.750 0.750
K: 0.250 0.750 0.250
K: 0.250 0.250 0.750
K: 0.000 0.500 0.500
K: 0.500 0.500 0.500
F: 0.145 0.263 0.488
F: 0.531 0.561 0.861
F: 0.355 0.237 0.012
F: 0.645 0.988 0.237
F: 0.469 0.861 0.439
F: 0.238 0.005 0.183
F: 0.855 0.488 0.737
F: 0.969 0.061 0.361
F: 0.469 0.139 0.561
F: 0.355 0.763 0.988
F: 0.238 0.995 0.817
F: 0.262 0.495 0.317
F: 0.738 0.683 0.495
F: 0.762 0.817 0.005
F: 0.855 0.512 0.263
F: 0.262 0.505 0.683
F: 0.031 0.361 0.939
F: 0.738 0.317 0.505
F: 0.969 0.939 0.639
F: 0.645 0.012 0.763
F: 0.762 0.183 0.995
F: 0.531 0.439 0.139
F: 0.031 0.639 0.061
F: 0.145 0.737 0.512
O: 0.597 0.279 0.746
O: 0.097 0.754 0.779
O: 0.903 0.779 0.246
O: 0.097 0.246 0.221
O: 0.403 0.746 0.721
O: 0.403 0.254 0.279
O: 0.597 0.721 0.254
O: 0.903 0.221 0.754
Te: 0.712 0.846 0.369
Te: 0.212 0.131 0.346
Te: 0.288 0.369 0.154
Te: 0.288 0.631 0.846
Te: 0.788 0.346 0.869
Te: 0.212 0.869 0.654
Te: 0.712 0.154 0.631
Te: 0.788 0.654 0.131

18.
Entry from Alexandria: a relaxed Be2SnRu2 crystal (PBEsol).

- ΔE_f (eV/atom) = -0.2280
- DOS(E_F) (states/eV per atom) = 0.3246

Cell: 2.992 6.342 6.342 Å, 90.00 90.00 90.00°
Fractional coordinates of all 10 atoms:
Ru: 0.500 0.832 0.332
Ru: 0.500 0.668 0.832
Ru: 0.500 0.332 0.168
Ru: 0.500 0.168 0.668
Sn: 0.000 0.500 0.500
Sn: 0.000 0.000 0.000
Be: 0.000 0.618 0.118
Be: 0.000 0.382 0.882
Be: 0.000 0.882 0.618
Be: 0.000 0.118 0.382

19.
Entry from Alexandria: a relaxed YBRh3 crystal (PBEsol).

- ΔE_f (eV/atom) = -0.7839
- DOS(E_F) (states/eV per atom) = 0.7362

Cell: 4.145 4.145 4.145 Å, 90.00 90.00 90.00°
Fractional coordinates of all 5 atoms:
Rh: 0.500 0.500 0.000
Rh: 0.000 0.500 0.500
Rh: 0.500 0.000 0.500
Y: 0.000 0.000 0.000
B: 0.500 0.500 0.500

20.
Entry from Alexandria: a relaxed TlRu2Se crystal (PBEsol).

- relative energy among the computed polymorphs (meV/atom) = 201.6
- formation energy from raw total energies (eV/atom) = 0.576
- DOS(E_F) (states/eV per atom) = 0.7870

Cell: 4.494 4.494 4.494 Å, 60.00 60.00 60.00°
Fractional coordinates of all 4 atoms:
Tl: 0.000 0.000 0.000
Ru: 0.750 0.750 0.750
Ru: 0.250 0.250 0.250
Se: 0.500 0.500 0.500

21.
Entry from Alexandria: a relaxed AsIr2Au crystal (PBEsol).

- ΔE_f (eV/atom) = 0.3446
- DOS(E_F) (states/eV per atom) = 0.7289

Cell: 2.727 2.770 9.692 Å, 90.00 90.00 119.49°
Fractional coordinates of all 4 atoms:
Ir: 0.500 0.000 0.247
Ir: 0.000 0.000 0.015
As: 0.000 0.000 0.476
Au: 0.500 0.000 0.762

22.
Entry from Alexandria: a relaxed Hf3MgTc crystal (PBEsol).

- ΔE_f (eV/atom) = 0.5050
- DOS(E_F) (states/eV per atom) = 1.4957

Cell: 4.951 4.951 4.951 Å, 90.00 90.00 90.00°
Fractional coordinates of all 5 atoms:
Hf: 0.500 0.000 0.000
Hf: 0.000 0.000 0.500
Hf: 0.000 0.500 0.000
Tc: 0.000 0.000 0.000
Mg: 0.500 0.500 0.500

23.
Entry from Alexandria: a relaxed Rh3Br crystal (PBEsol).

- formation energy from raw total energies (eV/atom) = 0.605
- DOS(E_F) (states/eV per atom) = 1.5402

Cell: 2.795 4.598 4.598 Å, 90.00 90.00 90.00°
Fractional coordinates of all 4 atoms:
Rh: 0.500 0.000 0.500
Rh: 0.500 0.500 0.000
Rh: 0.000 0.500 0.500
Br: 0.000 0.000 0.000

24.
Entry from Alexandria: a relaxed KNb2SnH crystal (PBEsol).

- uncorrected energy (eV for the cell shown) = -20.96
- DOS(E_F) (states/eV per atom) = 0.8611

Cell: 5.290 5.290 6.519 Å, 90.00 90.00 90.00°
Fractional coordinates of all 5 atoms:
K: 0.000 0.000 0.500
Sn: 0.000 0.000 0.000
Nb: 0.000 0.500 0.000
Nb: 0.500 0.000 0.000
H: 0.500 0.500 0.500

25.
Entry from Alexandria: a relaxed KSrBr2 crystal (PBEsol).

- relative energy among the computed polymorphs (meV/atom) = 0.0
- formation energy from raw total energies (eV/atom) = -1.445
- DOS(E_F) (states/eV per atom) = 0.2683

Cell: 4.331 4.343 9.178 Å, 90.00 90.00 119.91°
Fractional coordinates of all 4 atoms:
Sr: 0.500 0.000 0.000
K: 0.500 0.000 0.500
Br: 0.000 0.000 0.251
Br: 0.000 0.000 0.749